Here is a geometry-optimized ZrBe2Te structure from the Alexandria database. Energies are from PBE-GGA.

Calculated values
* space-group type: F-43m
* E_tot: -4.244 eV/atom
* magnetization: 0.000 μB per formula unit
* uncorrected formation energy: 0.5413 eV per atom
* DOS at the Fermi energy: 2.6 states/eV per cell

Lattice parameters (Å, degrees): 4.671 4.671 4.671 60.00 60.00 60.00
Fractional coordinates of all 4 atoms:
1 Zr 0.000 0.000 0.000
2 Be 0.500 0.500 0.500
3 Be 0.750 0.750 0.750
4 Te 0.250 0.250 0.250